Here is a relaxed K4Th3US8 crystal from Alexandria via LeMat-Bulk. Energies are from GGA-PBE.

```
16
Lattice="4.090 2.362 7.507 -4.090 2.362 7.507 0.000 -4.723 7.507" Properties=species:S:1:pos:R:3 pbc="T T T"
K 0.000 0.000 0.000
K -2.045 -1.181 7.507
K -2.045 1.181 15.013
K 0.000 2.362 7.507
Th -4.090 0.000 11.260
Th -2.045 1.181 3.753
Th 2.045 1.181 3.753
U 0.000 0.000 11.260
S 0.000 0.000 5.364
S -2.024 -1.169 12.842
S 0.000 -2.337 9.678
S -2.024 1.169 9.678
S 2.024 -1.169 12.842
S 0.000 2.337 12.842
S 2.024 1.169 9.678
S 0.000 0.000 17.156
```

Properties
The space-group type is R-3m (166). Its crystal system is trigonal. The energy is -6.037 eV/atom. The value obtained for the total magnetic moment is 3.6 Bohr magnetons per cell. The calculation puts the mass density at 5.141 g/cm³. For the uncorrected formation energy, the calculation gives -1.603 eV/atom. The calculation puts the density of states at the Fermi level at 0.7339 states/eV per atom.


Here is a relaxed KTh2US8 crystal from Alexandria via LeMat-Bulk. Energies are from GGA-PBE.

```
12
Lattice="5.915 0.000 0.000 0.024 6.540 0.000 0.037 0.006 8.833" Properties=species:S:1:pos:R:3 pbc="T T T"
K 0.000 0.000 0.000
Th 2.971 3.270 2.285
Th 3.006 3.276 6.548
U 0.018 0.003 4.416
S 1.375 3.049 0.000
S 1.516 5.599 6.217
S 1.519 5.617 2.605
S 1.522 2.204 4.429
S 4.454 4.342 4.404
S 4.457 0.929 6.228
S 4.460 0.947 2.616
S 4.601 3.496 8.832
```

Properties
The space-group type is P-1 (2). Its crystal system is triclinic. The energy is -6.368 eV/atom. The value obtained for the total magnetic moment is 0.0 Bohr magnetons per cell. The calculation puts the mass density at 4.849 g/cm³. For the uncorrected formation energy, the calculation gives -1.348 eV/atom. The calculation puts the density of states at the Fermi level at 0.1444 states/eV per atom.


Here is a relaxed K2YThS4 crystal from Alexandria via LeMat-Bulk. Energies are from GGA-PBE.

```
8
Lattice="7.072 0.000 0.000 0.000 4.084 0.000 -2.342 0.000 7.430" Properties=species:S:1:pos:R:3 pbc="T T T"
K 0.000 0.000 0.000
K 3.536 2.042 0.000
Y -1.171 2.042 3.715
Th 2.365 0.000 3.715
S -0.005 0.000 5.243
S 1.153 2.042 2.150
S 3.577 2.042 5.280
S 4.734 0.000 2.187
```

Properties
The space-group type is P2/m (10). Its crystal system is monoclinic. The energy is -5.849 eV/atom. The value obtained for the total magnetic moment is 0.0 Bohr magnetons per cell. The calculation puts the mass density at 4.082 g/cm³. For the uncorrected formation energy, the calculation gives -1.776 eV/atom. The calculation puts the density of states at the Fermi level at 0.5248 states/eV per atom.


Here is a relaxed K4Y3ThS8 crystal from Alexandria via LeMat-Bulk. Energies are from GGA-PBE.

```
16
Lattice="4.071 2.350 7.394 -4.071 2.350 7.394 0.000 -4.701 7.394" Properties=species:S:1:pos:R:3 pbc="T T T"
K 0.000 0.000 0.000
K -2.035 -1.175 7.394
K -2.035 1.175 14.787
K 0.000 2.350 7.394
Y -4.071 0.000 11.091
Y -2.035 1.175 3.697
Y 2.035 1.175 3.697
Th 0.000 0.000 11.091
S -2.049 -1.183 12.614
S 0.000 0.000 5.195
S 0.000 -2.366 9.567
S -2.049 1.183 9.567
S 2.049 -1.183 12.614
S 0.000 2.366 12.614
S 0.000 0.000 16.986
S 2.049 1.183 9.567
```

Properties
The space-group type is R-3m (166). Its crystal system is trigonal. The energy is -5.849 eV/atom. The value obtained for the total magnetic moment is 0.0 Bohr magnetons per cell. The calculation puts the mass density at 3.567 g/cm³. For the uncorrected formation energy, the calculation gives -1.835 eV/atom. The calculation puts the density of states at the Fermi level at 0.2892 states/eV per atom.


Here is a relaxed K2ThZnS4 crystal from Alexandria via LeMat-Bulk. Energies are from GGA-PBE.

```
16
Lattice="5.679 -6.138 0.000 5.679 6.138 0.000 -5.648 0.000 6.271" Properties=species:S:1:pos:R:3 pbc="T T T"
K 0.000 0.000 0.000
K -2.824 0.000 3.135
K 2.839 3.069 0.000
K 0.015 -3.069 3.135
Th 5.679 0.000 0.000
Th 2.854 0.000 3.135
Zn 0.015 3.069 3.135
Zn 2.839 -3.069 0.000
S 2.296 2.845 3.089
S 2.963 0.051 0.328
S 0.138 -0.051 3.463
S 6.237 2.845 0.047
S -0.529 -2.845 6.224
S 5.570 0.051 2.808
S 2.746 -0.051 5.943
S 3.413 -2.845 3.182
```

Properties
The space-group type is C2/c (15). Its crystal system is monoclinic. The energy is -4.752 eV/atom. The value obtained for the total magnetic moment is 0.0 Bohr magnetons per cell. The calculation puts the mass density at 3.828 g/cm³. For the uncorrected formation energy, the calculation gives -1.327 eV/atom. The calculation puts the density of states at the Fermi level at 0.0000 states/eV per atom.


Here is a relaxed K3Ti5S12 crystal from Alexandria via LeMat-Bulk. Energies are from GGA-PBE.

```
80
Lattice="-7.895 7.895 7.895 7.895 -7.895 7.895 7.895 7.895 -7.895" Properties=species:S:1:pos:R:3 pbc="T T T"
K 3.948 1.974 0.000
K 7.895 3.948 -1.974
K 1.974 0.000 3.948
K 9.869 0.000 3.948
K 0.000 3.948 1.974
K 3.948 -1.974 7.895
K 3.948 9.869 0.000
K 7.895 3.948 5.921
K -1.974 7.895 3.948
K 5.921 7.895 3.948
K 0.000 3.948 9.869
K 3.948 5.921 7.895
Ti 0.000 0.000 0.000
Ti 3.948 3.948 -3.948
Ti 3.948 -3.948 3.948
Ti 7.895 0.000 0.000
Ti 11.843 1.974 0.000
Ti 7.895 -3.948 5.921
Ti 5.921 7.895 -3.948
Ti 5.921 0.000 3.948
Ti 3.948 5.921 0.000
Ti 7.895 3.948 1.974
Ti -3.948 3.948 3.948
Ti 0.000 7.895 0.000
Ti 0.000 0.000 7.895
Ti 3.948 3.948 3.948
Ti 0.000 3.948 5.921
Ti 3.948 1.974 7.895
Ti 1.974 7.895 3.948
Ti 1.974 0.000 11.843
Ti 0.000 11.843 1.974
Ti -3.948 5.921 7.895
S 2.260 -0.621 0.709
S 9.583 4.656 -4.568
S 10.155 0.621 0.709
S 9.583 -3.239 4.568
S 7.275 -0.709 2.260
S 12.464 -1.688 3.239
S 0.709 2.260 -0.621
S 11.134 3.327 -1.688
S 4.656 4.568 -1.688
S 7.187 2.260 0.621
S -0.621 0.709 2.260
S 4.568 -1.688 4.656
S 7.275 7.187 -2.260
S 4.568 1.688 3.239
S 4.656 -4.568 9.583
S 7.187 -2.260 7.275
S 3.239 4.568 1.688
S 8.604 5.636 0.621
S 4.568 9.583 -3.239
S 7.275 0.709 5.636
S 2.260 7.275 -0.709
S 9.583 3.239 3.327
S 1.688 3.239 4.568
S 2.260 0.621 7.187
S 5.636 7.275 0.709
S 6.207 4.656 3.327
S -1.688 4.656 4.568
S 5.636 0.621 8.604
S 0.621 7.187 2.260
S 3.327 -1.688 11.134
S -0.709 2.260 7.275
S 4.656 3.327 6.207
S 0.709 10.155 0.621
S 3.239 12.464 -1.688
S 3.327 6.207 4.656
S 0.621 0.709 10.155
S 3.327 9.583 3.239
S 8.516 7.187 5.636
S 0.709 5.636 7.275
S 3.239 3.327 9.583
S -3.239 4.568 9.583
S 7.187 5.636 8.516
S -4.568 9.583 4.656
S 0.621 8.604 5.636
S -1.688 11.134 3.327
S -2.260 7.275 7.187
S -1.688 3.239 12.464
S 5.636 8.516 7.187
```

Properties
The space-group type is Ia-3d (230). Its crystal system is cubic. The energy is -5.726 eV/atom. The value obtained for the total magnetic moment is 0.0 Bohr magnetons per cell. The calculation puts the mass density at 2.501 g/cm³. For the uncorrected formation energy, the calculation gives -1.111 eV/atom. The calculation puts the density of states at the Fermi level at 0.8441 states/eV per atom.


Here is a relaxed KTiS2 crystal from Alexandria via LeMat-Bulk. Energies are from GGA-PBE.

```
4
Lattice="2.179 1.258 8.319 -2.179 1.258 8.319 0.000 -2.516 8.319" Properties=species:S:1:pos:R:3 pbc="T T T"
K 0.000 0.000 0.000
Ti 0.000 0.000 12.478
S 0.000 0.000 10.290
S 0.000 0.000 14.667
```

Properties
The space-group type is R-3m (166). Its crystal system is trigonal. The energy is -4.737 eV/atom. The value obtained for the total magnetic moment is 0.9 Bohr magnetons per cell. The calculation puts the mass density at 1.834 g/cm³. For the uncorrected formation energy, the calculation gives -0.425 eV/atom. The calculation puts the density of states at the Fermi level at 0.4537 states/eV per atom.


Here is a relaxed KTi6S8 crystal from Alexandria via LeMat-Bulk. Energies are from GGA-PBE.

```
15
Lattice="4.842 2.796 3.834 -4.842 2.796 3.834 0.000 -5.591 3.834" Properties=species:S:1:pos:R:3 pbc="T T T"
K 0.000 0.000 0.000
Ti -1.040 -1.495 4.548
Ti -0.775 1.648 4.548
Ti -1.815 0.153 6.953
Ti 1.815 -0.153 4.548
Ti 0.775 -1.648 6.953
Ti 1.040 1.495 6.953
S -2.826 0.198 4.736
S 0.000 0.000 3.011
S -1.584 -2.348 6.765
S 1.241 -2.546 4.736
S -1.241 2.546 6.765
S 1.584 2.348 4.736
S 0.000 0.000 8.490
S 2.826 -0.198 6.765
```

Properties
The space-group type is R-3 (148). Its crystal system is trigonal. The energy is -6.777 eV/atom. The value obtained for the total magnetic moment is 2.0 Bohr magnetons per cell. The calculation puts the mass density at 3.108 g/cm³. For the uncorrected formation energy, the calculation gives -1.345 eV/atom. The calculation puts the density of states at the Fermi level at 0.7459 states/eV per atom.